# 1
DFT (PBE) results for a geometry-optimized HoNbS2Br2 structure.

The structure in POSCAR format:
```
HoNbS2Br2
1.0
3.7202 0.0000 0.0000
0.0000 5.1497 0.0000
0.0000 0.0000 8.6601
Ho Nb S Br
1 1 2 2
Direct
0.0000 0.0000 0.0000
0.5000 0.5000 0.7871
0.0000 0.5000 0.9901
0.5000 0.0000 0.7742
0.0000 0.5000 0.5638
0.5000 0.0000 0.2392
```

Properties
The total energy is -34.34 eV per formula unit.

---

# 2
DFT (PBE) results for a geometry-optimized PuReSi structure.

The structure in POSCAR format:
```
PuReSi
1.0
6.1617 0.0000 0.0000
0.0000 6.1617 0.0000
0.0000 0.0000 6.1617
Pu Re Si
4 4 4
Direct
0.0000 0.0000 0.0000
0.0000 0.5000 0.5000
0.5000 0.0000 0.5000
0.5000 0.5000 0.0000
0.2500 0.2500 0.7500
0.2500 0.7500 0.2500
0.7500 0.2500 0.2500
0.7500 0.7500 0.7500
0.2500 0.2500 0.2500
0.2500 0.7500 0.7500
0.7500 0.2500 0.7500
0.7500 0.7500 0.2500
```

Properties
The total energy is -29.16 eV per formula unit.